1.
The following is a DFT calculation (PBE) of an optimized crystal structure of Dy3Lu4Te2Pd2.

As for the final energy: -57.7 eV/f.u. The energy above the most stable polymorph in this dataset comes out at 2.0 kJ/mol of atoms. Its total magnetization is 0.003 μB/f.u. Its crystal system is orthorhombic.

It has space group Imm2 (No. 44), with a = 3.910 Å, b = 15.532 Å, c = 9.544 Å, α = 90.00°, β = 90.00° and γ = 90.00°. Symmetry generates all atoms from Dy at (0.000, 0.000, 0.000), Dy at (0.000, 0.317, 0.627), Lu at (0.000, 0.131, 0.417), Lu at (0.000, 0.357, 0.266), Te at (0.000, 0.000, 0.660), Te at (0.000, 0.500, 0.769) and Pd at (0.000, 0.238, 0.927).

***

2.
The following is a DFT calculation (PBE) of an optimized crystal structure of KHfTe3Au.

As for the final energy: -27.5 eV/f.u. Its total magnetization is 0.001 μB/f.u. Its crystal system is orthorhombic.

It has space group Pnma (No. 62), with a = 8.510 Å, b = 4.696 Å, c = 17.786 Å, α = 90.00°, β = 90.00° and γ = 90.00°. Symmetry generates all atoms from K at (0.141, 0.250, 0.184), Hf at (0.241, 0.250, 0.952), Te at (0.000, 0.250, 0.425), Te at (0.126, 0.750, 0.031), Te at (0.164, 0.250, 0.798) and Au at (0.014, 0.750, 0.335).

***

3.
The following is a DFT calculation (PBE) of an optimized crystal structure of ZrZn2Te.

As for the final energy: -14.2 eV/f.u. Its total magnetization is 0.012 μB/f.u. Its crystal system is cubic.

It has space group F-43m (No. 216), with a = 6.900 Å, b = 6.900 Å, c = 6.900 Å, α = 90.00°, β = 90.00° and γ = 90.00°. Symmetry generates all atoms from Zr at (0.000, 0.000, 0.000), Zn at (0.000, 0.000, 0.500), Zn at (0.250, 0.250, 0.250) and Te at (0.250, 0.250, 0.750).